Here is a relaxed ScTa2P crystal from the Alexandria database. Energies are from PBE.

a b c (Å): 3.021 3.021 8.222
angles (deg): 90.00 90.00 107.28
Atoms (fractional coordinates):
Sc (0.500, 0.500, 0.280)
Ta (0.000, 0.000, 0.987)
Ta (0.500, 0.500, 0.723)
P (0.000, 0.000, 0.510)

Output
The density of states at the Fermi level comes out at 1.30 states/eV per atom. The crystal system is orthorhombic. For the calculated formation energy, the calculation gives -0.28 eV per atom.